Below is Tc2Pb after structural relaxation, with properties calculated at the PBE level.

Output
- Spin magnetization: 3.91 μB/f.u.
- E_tot: -20.23 eV/cell
- Formation enthalpy at 0 K: 4.2 eV per formula unit
- Relative energy among the computed polymorphs: 1040 meV/atom

Cell and atoms, written as POSCAR:
```
Tc2Pb
1.0
0.0000 3.1797 3.1797
3.1797 0.0000 3.1797
3.1797 3.1797 0.0000
Tc Pb
2 1
direct
0.2500 0.2500 0.2500 Tc
0.7500 0.7500 0.7500 Tc
0.0000 0.0000 0.0000 Pb
```


Below is MgInNi2H after structural relaxation, with properties calculated at the PBE level.

Output
- Spin magnetization: 0.00 μB/f.u.
- E_tot: -19.65 eV/cell

Cell and atoms, written as POSCAR:
```
MgInNi2H
1.0
3.9530 0.0000 0.0000
0.0000 3.9530 0.0000
0.0000 0.0000 3.9217
Mg In Ni H
1 1 2 1
direct
0.0000 0.0000 0.0000 Mg
0.5000 0.5000 0.0000 In
0.0000 0.5000 0.5000 Ni
0.5000 0.0000 0.5000 Ni
0.0000 0.0000 0.5000 H
```


Below is Hf4ZnIr5 after structural relaxation, with properties calculated at the PBE level.

Output
- Spin magnetization: 0.00 μB/f.u.
- E_tot: -93.75 eV/cell
- Formation enthalpy at 0 K: -8.4 eV per formula unit

Cell and atoms, written as POSCAR:
```
Hf4ZnIr5
1.0
3.3482 0.0000 0.0000
0.0000 3.3482 0.0000
0.0000 0.0000 15.1578
Hf Zn Ir
4 1 5
direct
0.0000 0.0000 0.1032 Hf
0.0000 0.0000 0.3133 Hf
0.0000 0.0000 0.6867 Hf
0.0000 0.0000 0.8968 Hf
0.0000 0.0000 0.5000 Zn
0.5000 0.5000 0.0000 Ir
0.5000 0.5000 0.2037 Ir
0.5000 0.5000 0.4059 Ir
0.5000 0.5000 0.5941 Ir
0.5000 0.5000 0.7963 Ir
```


Below is CsSrCa2Zn after structural relaxation, with properties calculated at the PBE level.

Output
- Spin magnetization: 0.00 μB/f.u.
- E_tot: -7.46 eV/cell
- Formation enthalpy at 0 K: 0.4 eV per formula unit

Cell and atoms, written as POSCAR:
```
CsSrCa2Zn
1.0
6.1475 0.0000 0.0000
0.0000 6.1475 0.0000
0.0000 0.0000 6.3467
Cs Sr Ca Zn
1 1 2 1
direct
0.0000 0.0000 0.0000 Cs
0.5000 0.5000 0.0000 Sr
0.0000 0.5000 0.5000 Ca
0.5000 0.0000 0.5000 Ca
0.5000 0.5000 0.5000 Zn
```


Below is MnTcIr3 after structural relaxation, with properties calculated at the PBE level.

Output
- Spin magnetization: 4.58 μB/f.u.
- E_tot: -38.10 eV/cell
- Formation enthalpy at 0 K: 8.0 eV per formula unit
- Relative energy among the computed polymorphs: 72 meV/atom

Cell and atoms, written as POSCAR:
```
MnTcIr3
1.0
4.6936 0.0000 0.0000
0.0000 4.6936 0.0000
0.0000 0.0000 4.6936
Mn Tc Ir
1 1 3
direct
0.0000 0.0000 0.0000 Mn
0.5000 0.5000 0.5000 Tc
0.0000 0.5000 0.5000 Ir
0.5000 0.0000 0.5000 Ir
0.5000 0.5000 0.0000 Ir
```


Below is BaAlAs2Se after structural relaxation, with properties calculated at the PBE level.

Output
- Spin magnetization: 2.54 μB/f.u.
- E_tot: -13.99 eV/cell
- Uncorrected formation energy: 0.8916 eV/atom
- Relative energy among the computed polymorphs: 1402 meV/atom

Cell and atoms, written as POSCAR:
```
BaAlAs2Se
1.0
6.0473 0.0000 0.0000
0.0000 6.0473 0.0000
0.0000 0.0000 6.0481
Ba Al As Se
1 1 2 1
direct
0.0000 0.0000 0.0000 Ba
0.5000 0.5000 0.5000 Al
0.0000 0.5000 0.0000 As
0.5000 0.0000 0.0000 As
0.0000 0.0000 0.5000 Se
```


Below is Ce2Ga2Sn after structural relaxation, with properties calculated at the PBE level.

Output
- Spin magnetization: 1.67 μB/f.u.
- E_tot: -49.53 eV/cell
- Formation enthalpy at 0 K: -2.8 eV per formula unit
- Relative energy among the computed polymorphs: 11 meV/atom

Cell and atoms, written as POSCAR:
```
Ce2Ga2Sn
1.0
7.3356 0.0000 0.0000
0.0000 7.3356 0.0000
0.0000 0.0000 4.5377
Ce Ga Sn
4 4 2
direct
0.1728 0.3272 0.0000 Ce
0.3272 0.8272 0.0000 Ce
0.6728 0.1728 0.0000 Ce
0.8272 0.6728 0.0000 Ce
0.1239 0.6239 0.5000 Ga
0.3761 0.1239 0.5000 Ga
0.6239 0.8761 0.5000 Ga
0.8761 0.3761 0.5000 Ga
0.0000 0.0000 0.5000 Sn
0.5000 0.5000 0.5000 Sn
```


Below is Mg4Si7 after structural relaxation, with properties calculated at the PBE level.

Output
- Spin magnetization: 0.00 μB/f.u.
- E_tot: -86.36 eV/cell
- Uncorrected formation energy: 0.1053 eV/atom
- Relative energy among the computed polymorphs: 9 meV/atom

Cell and atoms, written as POSCAR:
```
Mg4Si7
1.0
3.8858 0.0000 0.0000
0.0048 7.1209 0.0000
0.0204 2.8513 14.5599
Mg Si
8 14
direct
0.0000 0.0000 0.0000 Mg
0.0007 0.4428 0.0935 Mg
0.4971 0.0933 0.1746 Mg
0.4980 0.5725 0.5879 Mg
0.4987 0.1556 0.5051 Mg
0.9947 0.4829 0.7595 Mg
0.9977 0.2117 0.3245 Mg
0.9985 0.7565 0.2422 Mg
0.0001 0.0622 0.8001 Si
0.0075 0.7336 0.8689 Si
0.4979 0.8089 0.7143 Si
0.4994 0.2220 0.8484 Si
0.4994 0.4570 0.2221 Si
0.4992 0.5492 0.3667 Si
0.4994 0.9041 0.3675 Si
0.4997 0.7518 0.1071 Si
0.5010 0.2911 0.9985 Si
0.5057 0.6394 0.9629 Si
0.9991 0.2864 0.6183 Si
0.9989 0.4632 0.4600 Si
0.9993 0.8394 0.4726 Si
0.9988 0.9442 0.6246 Si
```


Below is ScBe2Se after structural relaxation, with properties calculated at the PBE level.

Output
- Spin magnetization: 0.00 μB/f.u.
- E_tot: -17.49 eV/cell
- Uncorrected formation energy: -0.0549 eV/atom

Cell and atoms, written as POSCAR:
```
ScBe2Se
1.0
3.7809 0.0000 0.0000
0.0000 3.7809 0.0000
0.0000 0.0000 4.0287
Sc Be Se
1 2 1
direct
0.0000 0.0000 0.0000 Sc
0.0000 0.5000 0.5000 Be
0.5000 0.0000 0.5000 Be
0.5000 0.5000 0.0000 Se
```


Below is ThMgPt after structural relaxation, with properties calculated at the PBE level.

Output
- Spin magnetization: 0.00 μB/f.u.
- E_tot: -17.00 eV/cell
- Formation enthalpy at 0 K: -1.9 eV per formula unit

Cell and atoms, written as POSCAR:
```
ThMgPt
1.0
4.6669 0.0000 0.0000
-2.3335 4.0417 0.0000
0.0000 0.0000 3.6322
Th Mg Pt
1 1 1
direct
0.0000 0.0000 0.0000 Th
0.3333 0.6667 0.5000 Mg
0.6667 0.3333 0.5000 Pt
```


Below is Ce4PuPd2 after structural relaxation, with properties calculated at the PBE level.

Output
- Spin magnetization: 0.00 μB/f.u.
- E_tot: -50.75 eV/cell
- Formation enthalpy at 0 K: -2.3 eV per formula unit

Cell and atoms, written as POSCAR:
```
Ce4PuPd2
1.0
7.0313 -2.0313 0.0000
7.0313 2.0313 0.0000
-1.3408 0.0000 5.8369
Ce Pu Pd
4 1 2
direct
0.0806 0.0806 0.2437 Ce
0.3654 0.3654 0.2008 Ce
0.6346 0.6346 0.7992 Ce
0.9194 0.9194 0.7563 Ce
0.5000 0.5000 0.0000 Pu
0.2636 0.2636 0.6693 Pd
0.7364 0.7364 0.3307 Pd
```


Below is RbSc after structural relaxation, with properties calculated at the PBE level.

Output
- Spin magnetization: 1.68 μB/f.u.
- E_tot: -21.76 eV/cell
- Formation enthalpy at 0 K: 1.9 eV per formula unit

Cell and atoms, written as POSCAR:
```
RbSc
1.0
0.0000 5.6924 9.5427
3.5894 0.0000 9.5427
3.5894 5.6924 0.0000
Rb Sc
4 4
direct
0.0371 0.7129 0.0371 Rb
0.2871 0.9629 0.2871 Rb
0.7129 0.0371 0.7129 Rb
0.9629 0.2871 0.9629 Rb
0.2980 0.2980 0.4520 Sc
0.4520 0.4520 0.2980 Sc
0.5480 0.5480 0.7020 Sc
0.7020 0.7020 0.5480 Sc
```


Below is ScGaO3 after structural relaxation, with properties calculated at the PBE level.

Output
- Spin magnetization: 0.00 μB/f.u.
- E_tot: -149.42 eV/cell
- Uncorrected formation energy: -2.6242 eV/atom

Cell and atoms, written as POSCAR:
```
ScGaO3
1.0
5.3884 0.0000 0.0000
0.0000 7.5938 0.0000
0.0000 0.0000 5.0732
Sc Ga O
4 4 12
direct
0.0689 0.2500 0.0246 Sc
0.4311 0.7500 0.5246 Sc
0.5689 0.2500 0.4754 Sc
0.9311 0.7500 0.9754 Sc
0.0000 0.0000 0.5000 Ga
0.0000 0.5000 0.5000 Ga
0.5000 0.0000 0.0000 Ga
0.5000 0.5000 0.0000 Ga
0.0627 0.7500 0.3579 O
0.1909 0.5725 0.8120 O
0.1909 0.9275 0.8120 O
0.3091 0.0725 0.3120 O
0.3091 0.4275 0.3120 O
0.4373 0.2500 0.8579 O
0.5627 0.7500 0.1421 O
0.6909 0.5725 0.6880 O
0.6909 0.9275 0.6880 O
0.8091 0.0725 0.1880 O
0.8091 0.4275 0.1880 O
0.9373 0.2500 0.6421 O
```


Below is KPdIO2 after structural relaxation, with properties calculated at the PBE level.

Output
- Spin magnetization: 1.88 μB/f.u.
- E_tot: -18.76 eV/cell
- Uncorrected formation energy: -0.2013 eV/atom
- Relative energy among the computed polymorphs: 0 meV/atom

Cell and atoms, written as POSCAR:
```
KPdIO2
1.0
4.3141 0.0000 0.0000
0.0000 4.3141 0.0000
0.0000 0.0000 5.5860
K Pd I O
1 1 1 2
direct
0.0000 0.0000 0.0000 K
0.5000 0.5000 0.5000 Pd
0.5000 0.5000 0.0000 I
0.0000 0.5000 0.5000 O
0.5000 0.0000 0.5000 O
```


Below is SrGe2As2 after structural relaxation, with properties calculated at the PBE level.

Output
- Spin magnetization: 0.00 μB/f.u.
- E_tot: -42.45 eV/cell
- Formation enthalpy at 0 K: -1.0 eV per formula unit

Cell and atoms, written as POSCAR:
```
SrGe2As2
1.0
8.1862 0.0000 0.0000
0.0000 8.1862 0.0000
0.0000 0.0000 3.8253
Sr Ge As
2 4 4
direct
0.0000 0.0000 0.0000 Sr
0.5000 0.5000 0.0000 Sr
0.1037 0.3963 0.0000 Ge
0.3963 0.8963 0.0000 Ge
0.6037 0.1037 0.0000 Ge
0.8963 0.6037 0.0000 Ge
0.2388 0.2612 0.5000 As
0.2612 0.7612 0.5000 As
0.7388 0.2388 0.5000 As
0.7612 0.7388 0.5000 As
```


Below is SnPSe2N after structural relaxation, with properties calculated at the PBE level.

Output
- Spin magnetization: 0.00 μB/f.u.
- E_tot: -18.80 eV/cell
- Uncorrected formation energy: 1.1811 eV/atom
- Relative energy among the computed polymorphs: 811 meV/atom

Cell and atoms, written as POSCAR:
```
SnPSe2N
1.0
5.3512 0.0000 0.0000
0.0000 5.3512 0.0000
0.0000 0.0000 3.9075
Sn P Se N
1 1 2 1
direct
0.0000 0.0000 0.0000 Sn
0.5000 0.5000 0.5000 P
0.0000 0.5000 0.0000 Se
0.5000 0.0000 0.0000 Se
0.0000 0.0000 0.5000 N
```


Below is Te2AsF after structural relaxation, with properties calculated at the PBE level.

Output
- Spin magnetization: 0.00 μB/f.u.
- E_tot: -13.83 eV/cell
- Uncorrected formation energy: -0.2563 eV/atom
- Relative energy among the computed polymorphs: 292 meV/atom

Cell and atoms, written as POSCAR:
```
Te2AsF
1.0
0.0000 3.4711 3.4711
3.4711 0.0000 3.4711
3.4711 3.4711 0.0000
Te As F
2 1 1
direct
0.2500 0.2500 0.2500 Te
0.7500 0.7500 0.7500 Te
0.0000 0.0000 0.0000 As
0.5000 0.5000 0.5000 F
```